No. 1
BaY2SiTc | Alexandria | PBE-GGA | optimized geometry; calculated total energy = -3.990 eV per atom; ΔE_f (raw) = 2.14 eV/atom
1.0
-4.149 3.588 -1.026
-3.226 -2.961 2.693
1.289 2.818 4.641
Y Si Ba Tc
2 1 1 1
Direct
0.000 0.000 0.500 Y
0.500 0.000 0.000 Y
0.000 0.500 0.000 Si
0.000 0.000 0.000 Ba
0.500 0.500 0.500 Tc


No. 2
BaZnSi2Tc | Alexandria | PBE-GGA | optimized geometry; calculated total energy = -5.149 eV per atom; ΔE_f (raw) = -0.27 eV/atom
1.0
-2.448 3.306 2.282
-3.892 -1.290 -2.307
-1.060 -3.288 3.626
Zn Si Ba Tc
1 2 1 1
Direct
0.000 0.000 0.500 Zn
0.000 0.500 0.000 Si
0.500 0.000 0.000 Si
0.500 0.500 0.500 Ba
0.000 0.000 0.000 Tc